[1]
Here is a PBEsol-optimized structure of RbAg3Os from Alexandria via LeMat-Bulk. Energies are from SCAN.

## Properties
Crystal system: cubic
DFT formation energy in eV/atom: 2.59

a b c (Å): 5.1251 5.1251 5.1251
angles (deg): 90.00 90.00 90.00
With the nearest neighbours (Å) after each atom.
Fractional positions:
Rb 0.0000 0.0000 0.0000  6 Ag 2.56
Ag 0.0000 0.0000 0.5000  2 Rb 2.56
Ag 0.0000 0.5000 0.0000  2 Rb 2.56
Ag 0.5000 0.0000 0.0000  2 Rb 2.56
Os 0.5000 0.5000 0.5000  12 Ag 3.62


[2]
Here is a PBEsol-optimized structure of SrLa2Os from Alexandria via LeMat-Bulk. Energies are from SCAN.

## Properties
Crystal system: monoclinic
Excess energy over the best structure of this formula in the dataset in meV per atom: 0
DFT formation energy in eV/atom: -0.13

a b c (Å): 4.1949 4.1949 9.9641
angles (deg): 102.10 102.10 60.00
With the nearest neighbours (Å) after each atom.
Fractional positions:
Sr 0.0000 0.0000 0.0000  6 La 4.17, 6 Sr 4.19
La 0.2162 0.2162 0.6491  3 Os 2.82
La 0.7838 0.7838 0.3509  3 Os 2.82
Os 0.5000 0.5000 0.5000  6 La 2.82


[3]
Here is a PBEsol-optimized structure of CaTaBr2 from Alexandria via LeMat-Bulk. Energies are from SCAN.

## Properties
Energy relative to the elements, uncorrected in meV per atom: -203
Crystal system: orthorhombic
Excess energy over the best structure of this formula in the dataset in meV per atom: 0

a b c (Å): 5.0951 5.3813 5.3813
angles (deg): 35.86 90.00 90.00
With the nearest neighbours (Å) after each atom.
Fractional positions:
Ca 0.0000 0.0000 0.0000  3 Br 2.81-2.85
Ta 0.5000 0.6525 0.6525  5 Br 2.64-2.94
Br 0.0000 0.7213 0.7213  2 Ta 2.64, 3 Ca 2.81-2.85
Br 0.5000 0.3659 0.3659  3 Ta 2.74-2.94